No. 1
The following is a DFT calculation (PBE) of an optimized crystal structure of BaSbAu.

Geometry as POSCAR:
```
BaSbAu
1.0
9.0674 0.0000 0.0000
-4.5337 7.8526 0.0000
0.0000 0.0000 4.0551
Au Ba Sb
3 3 3
Cartesian
-2.7983 4.8469 2.0276
5.5967 0.0000 2.0276
1.7353 3.0057 2.0276
-1.3161 2.2795 0.0000
3.2176 5.5731 0.0000
2.6322 0.0000 0.0000
4.5337 2.6175 0.0000
0.0000 0.0000 2.0276
0.0000 5.2350 0.0000
```

V in A^3/atom: 32.081
Final energy in eV/atom: -3.427

---

No. 2
The following is a DFT calculation (PBE) of an optimized crystal structure of SmGaSiIr3.

Geometry as POSCAR:
```
SmGaSiIr3
1.0
-4.2251 3.3619 -1.5761
0.4117 -5.1881 -2.1334
-2.1006 -1.3224 2.8106
Sm Ga Si Ir
1 1 1 3
Cartesian
-2.6795 0.5119 -1.7618
-1.1339 -2.3381 -1.9476
0.0000 0.0000 0.0000
-1.3967 -4.4514 -0.6370
-1.6065 -1.8080 0.4500
-3.5495 -2.7385 -1.4400
```

V in A^3/atom: 17.123
Final energy in eV/atom: -7.413
Size of the total moment in μB per formula unit: 0.0

---

No. 3
The following is a DFT calculation (PBE) of an optimized crystal structure of La2PrNi7Pt2.

Geometry as POSCAR:
```
La2PrNi7Pt2
1.0
-8.7185 1.3831 1.6836
-6.2923 5.8203 2.7003
-7.4325 4.5614 -2.1704
Ni La Pt Pr
7 2 2 1
Cartesian
-13.0405 7.1658 -0.1541
-12.4749 7.7902 2.2619
-11.2217 5.8824 1.1067
-9.4028 4.5990 2.3675
-8.7650 6.1755 0.4559
-13.6783 5.5893 1.7576
-9.9684 3.9746 -0.0485
-19.3284 10.1320 1.9062
-3.1149 1.6328 0.3072
-7.4530 3.9069 0.7351
-14.9903 7.8579 1.4784
0.0000 0.0000 0.0000
```

V in A^3/atom: 16.282
Size of the total moment in μB per formula unit: 0.2
Calculated formation energy in meV/atom: -449

---

No. 4
The following is a DFT calculation (PBE) of an optimized crystal structure of PmDyPt.

Geometry as POSCAR:
```
PmDyPt
1.0
-1.3742 -3.5140 2.9501
-1.6533 1.0516 4.3704
-4.6429 -0.5987 1.0120
Dy Pt Pm
1 1 1
Cartesian
0.0000 0.0000 0.0000
-5.7528 -2.2958 6.2494
-1.9176 -0.7653 2.0831
```

V in A^3/atom: 25.896
Size of the total moment in μB per formula unit: 0.0
Calculated formation energy in meV/atom: -136

---

No. 5
The following is a DFT calculation (PBE) of an optimized crystal structure of TlCu15.

Geometry as POSCAR:
```
TlCu15
1.0
-1.2171 1.9592 -4.5609
0.5141 -3.1814 -1.5039
-32.8679 -7.8770 5.4277
Cu Tl
30 2
Cartesian
-25.6004 -6.6804 3.2784
-24.4036 -7.4928 1.2012
-11.5825 -2.1936 -1.4215
-23.1472 -6.0919 2.8719
-25.0203 -6.4957 -1.1192
-22.5949 -5.9223 -1.5029
-16.4503 -3.3611 -0.6157
-19.5707 -6.3257 0.3841
-12.2604 -4.5727 -0.8251
-14.6753 -5.1510 -0.4274
-9.8243 -3.9887 -1.2280
-21.3105 -4.5265 0.1881
-18.3065 -4.9316 2.0721
-23.7466 -5.1105 0.5910
-18.8956 -3.9482 -0.2095
-12.8227 -3.5818 -3.1137
-20.1740 -5.3426 -1.9018
-21.9883 -6.9056 0.7845
-10.9760 -3.1769 0.8660
-8.5505 -2.6035 0.4822
-17.7238 -4.7561 -2.3050
-14.0002 -2.7735 -1.0211
-15.2643 -4.1676 -2.7091
-17.1206 -5.7381 -0.0213
-9.1673 -1.6064 -1.8381
-20.7481 -5.5174 2.4767
-15.8471 -4.3431 1.6680
-7.9705 -2.4188 -3.9154
-10.4237 -3.0073 -3.5089
-13.3969 -3.7566 1.2648
-6.6474 -3.2275 -1.7521
-26.9235 -5.8717 1.1151
```

V in A^3/atom: 19.444
Final energy in eV/atom: -3.549

---

No. 6
The following is a DFT calculation (PBE) of an optimized crystal structure of Cu2SiSe3.

Geometry as POSCAR:
```
Cu2SiSe3
1.0
-3.6406 2.7388 5.0018
-2.6688 -4.8878 -3.8417
2.2696 -4.4551 4.0914
Si Se Cu
2 6 4
Cartesian
-1.0522 -6.1548 2.6044
-1.3761 -3.6126 5.5522
-1.8437 -4.6010 1.1774
-4.1194 -1.4505 0.7983
-2.1676 -2.0588 4.1253
1.1072 -2.1734 1.9960
-0.8971 -1.7210 -1.2838
-1.2312 0.9013 1.7569
-0.3296 -0.8121 3.2345
1.9403 -3.8087 3.4978
-0.0079 -3.3371 0.3067
-3.3449 -3.1564 2.3545
```

V in A^3/atom: 21.341
Final energy in eV/atom: -4.075

---

No. 7
The following is a DFT calculation (PBE) of an optimized crystal structure of Tb3Sn3Sb2O12.

Geometry as POSCAR:
```
Tb3Sn3Sb2O12
1.0
-6.6330 6.6330 6.6330
6.6330 -6.6330 6.6330
6.6330 6.6330 -6.6330
Sb O Tb Sn
8 48 12 12
Cartesian
3.3165 3.3165 3.3165
0.0000 6.6330 0.0000
3.3165 3.3165 -3.3165
0.0000 0.0000 6.6330
-3.3165 3.3165 3.3165
3.3165 -3.3165 3.3165
6.6330 0.0000 0.0000
0.0000 0.0000 0.0000
2.0891 6.3707 -0.9069
2.4096 10.2119 -1.2274
6.3707 -0.9069 2.0891
0.2623 7.5399 4.5439
5.7261 -2.0891 6.3707
-1.2274 9.0426 3.0542
-1.2274 4.2234 3.5788
-3.5788 7.8605 4.2234
6.8954 5.7261 4.5439
9.0426 3.0542 -1.2274
5.7261 2.0891 0.2623
7.8605 4.2234 -3.5788
4.5439 0.2623 7.5399
-0.9069 2.0891 6.3707
4.2234 -3.5788 7.8605
6.3707 0.9069 4.5439
0.9069 2.0891 -0.2623
3.0542 5.4056 4.2234
-2.4096 3.5788 7.8605
6.3707 5.7261 -2.0891
0.2623 5.7261 2.0891
3.0542 -1.2274 9.0426
2.0891 -0.2623 0.9069
4.5439 6.8954 5.7261
7.5399 4.5439 0.2623
3.5788 1.2274 2.4096
10.2119 -1.2274 2.4096
4.2234 3.5788 -1.2274
3.0542 7.8605 2.4096
7.8605 -2.4096 3.5788
3.5788 7.8605 -2.4096
2.4096 3.0542 7.8605
3.5788 -1.2274 4.2234
0.9069 8.7221 0.2623
8.7221 0.2623 0.9069
0.2623 0.9069 8.7221
7.8605 2.4096 3.0542
5.4056 4.2234 3.0542
2.0891 0.2623 5.7261
1.2274 2.4096 3.5788
4.5439 6.3707 0.9069
5.7261 4.5439 6.8954
2.4096 3.5788 1.2274
4.2234 3.0542 5.4056
-0.2623 0.9069 2.0891
-1.2274 2.4096 10.2119
-2.0891 6.3707 5.7261
0.9069 4.5439 6.3707
3.3165 1.6583 0.0000
6.6330 3.3165 -1.6582
6.6330 3.3165 4.9748
3.3165 8.2913 0.0000
3.3165 -1.6582 6.6330
8.2913 0.0000 3.3165
1.6583 0.0000 3.3165
4.9748 6.6330 3.3165
0.0000 3.3165 8.2913
0.0000 3.3165 1.6583
-1.6582 6.6330 3.3165
3.3165 4.9748 6.6330
4.9748 0.0000 3.3165
6.6330 -3.3165 4.9748
0.0000 3.3165 4.9748
1.6583 6.6330 3.3165
1.6583 0.0000 9.9495
9.9495 1.6583 0.0000
-3.3165 4.9748 6.6330
4.9748 6.6330 -3.3165
6.6330 3.3165 1.6583
3.3165 1.6583 6.6330
0.0000 9.9495 1.6583
3.3165 4.9748 0.0000
```

V in A^3/atom: 14.592
Final energy in eV/atom: -6.596
Size of the total moment in μB per formula unit: 0.0

---

No. 8
The following is a DFT calculation (PBE) of an optimized crystal structure of LaGd2Ni2B2N3.

Geometry as POSCAR:
```
LaGd2Ni2B2N3
1.0
-1.7859 1.7859 10.2349
1.7859 -1.7859 10.2349
1.7859 1.7859 -10.2349
B Ni N Gd La
2 2 3 2 1
Cartesian
0.0000 0.0000 16.5194
0.0000 0.0000 3.9504
1.7859 0.0000 5.1175
0.0000 1.7859 5.1175
0.0000 0.0000 10.2349
0.0000 0.0000 17.9653
0.0000 0.0000 2.5046
0.0000 0.0000 7.6326
0.0000 0.0000 12.8372
0.0000 0.0000 0.0000
```

V in A^3/atom: 13.058
Final energy in eV/atom: -7.474
Size of the total moment in μB per formula unit: 0.0

---

No. 9
The following is a DFT calculation (PBE) of an optimized crystal structure of PaNiHg.

Geometry as POSCAR:
```
PaNiHg
1.0
-4.6720 0.0071 0.7961
-3.0086 0.8709 -3.5569
-2.7032 -3.4896 -1.7255
Pa Ni Hg
1 1 1
Cartesian
-2.5959 -0.6529 -1.1216
0.0000 0.0000 0.0000
-5.1919 -1.3058 -2.2431
```

V in A^3/atom: 25.091
Size of the total moment in μB per formula unit: 0.2
Calculated formation energy in meV/atom: 587

---

No. 10
The following is a DFT calculation (PBE) of an optimized crystal structure of PaAlZn.

Geometry as POSCAR:
```
PaAlZn
1.0
-2.4550 0.3283 3.8119
-3.3356 3.0741 0.2976
-4.3402 -1.3514 0.0318
Zn Al Pa
1 1 1
Cartesian
0.0000 0.0000 0.0000
-2.5327 0.5128 1.0353
-7.5982 1.5383 3.1059
```

V in A^3/atom: 22.142
Final energy in eV/atom: -4.697
Size of the total moment in μB per formula unit: 0.0

---

No. 11
The following is a DFT calculation (PBE) of an optimized crystal structure of Pr3Dy3Te2Os.

Geometry as POSCAR:
```
Pr3Dy3Te2Os
1.0
-2.1082 2.7922 7.8431
4.3157 -7.3678 -0.9188
3.4578 1.9982 0.2181
Dy Pr Os Te
3 3 1 2
Cartesian
-0.8424 1.1157 3.1339
1.7244 -2.9440 -0.3671
1.3254 -2.7474 4.1575
2.2716 -0.1258 1.8114
4.9836 -4.5574 -0.5839
0.1390 3.1048 6.0239
0.0000 0.0000 0.0000
3.9033 -2.9821 2.1108
1.7620 0.4046 5.0315
```

V in A^3/atom: 28.385
Final energy in eV/atom: -5.680
Size of the total moment in μB per formula unit: 0.0

---

No. 12
The following is a DFT calculation (PBE) of an optimized crystal structure of NbCoAs.

Geometry as POSCAR:
```
NbCoAs
1.0
6.2575 0.0000 0.0000
-3.1288 5.4192 0.0000
0.0000 0.0000 3.7743
Co As Nb
3 3 3
Cartesian
2.3306 4.0368 0.0000
-0.7981 1.3824 0.0000
1.5963 0.0000 0.0000
0.0000 0.0000 1.8871
0.0000 3.6128 0.0000
3.1288 1.8064 0.0000
-1.8415 3.1895 1.8871
3.6829 0.0000 1.8871
1.2873 2.2297 1.8871
```

V in A^3/atom: 14.221
Final energy in eV/atom: -7.746
Size of the total moment in μB per formula unit: 0.0

---

No. 13
The following is a DFT calculation (PBE) of an optimized crystal structure of Y7Ir2Se2.

Geometry as POSCAR:
```
Y7Ir2Se2
1.0
-1.9558 7.6224 4.6232
1.9558 -7.6224 4.6232
1.9558 7.6224 -4.6232
Ir Y Se
2 7 2
Cartesian
1.9558 3.9618 -0.8651
0.0000 3.6606 3.7581
1.9558 5.7477 3.6406
0.0000 10.4041 0.9725
0.0000 4.8407 0.9725
1.9558 -2.1412 2.1958
1.9558 2.1412 2.1958
0.0000 0.0000 4.4460
1.9558 -5.7477 3.6406
0.0000 0.0000 1.3240
0.0000 7.6224 2.1862
```

V in A^3/atom: 25.063
Final energy in eV/atom: -7.401
Size of the total moment in μB per formula unit: 0.0

---

No. 14
The following is a DFT calculation (PBE) of an optimized crystal structure of PaSiSb.

Geometry as POSCAR:
```
PaSiSb
1.0
0.0000 3.4670 3.4670
3.4670 0.0000 3.4670
3.4670 3.4670 0.0000
Si Sb Pa
1 1 1
Cartesian
5.2006 5.2006 5.2006
1.7335 1.7335 1.7335
0.0000 0.0000 0.0000
```

V in A^3/atom: 27.783
Final energy in eV/atom: -6.207
Size of the total moment in μB per formula unit: 0.3

---

No. 15
The following is a DFT calculation (PBE) of an optimized crystal structure of Zr3AlSe.

Geometry as POSCAR:
```
Zr3AlSe
1.0
1.5550 6.2850 1.6871
-2.1703 -6.0859 1.7371
9.0476 -2.7174 1.7836
Se Zr Al
2 6 2
Cartesian
0.0000 0.0000 0.0000
4.5238 -1.3587 0.8918
5.2817 0.5389 2.6908
8.0961 3.4345 3.0281
8.8444 -0.5311 3.3931
0.3363 -5.9527 2.1797
3.1507 -3.0571 2.5170
-0.4120 -1.9871 1.8147
5.5919 -4.8812 3.0617
2.8405 2.3630 2.1461
```

V in A^3/atom: 21.642
Final energy in eV/atom: -7.226
Size of the total moment in μB per formula unit: 0.1

---

No. 16
The following is a DFT calculation (PBE) of an optimized crystal structure of SmGdB2Pd2N2.

Geometry as POSCAR:
```
SmGdB2Pd2N2
1.0
3.7357 0.0000 0.0000
0.0000 3.7357 0.0000
0.0000 0.0000 7.6874
Pd B N Gd Sm
2 2 2 1 1
Cartesian
0.0000 1.8679 3.8360
1.8679 0.0000 3.8360
0.0000 0.0000 5.1654
1.8679 1.8679 2.5319
1.8679 1.8679 1.1079
0.0000 0.0000 6.5936
0.0000 0.0000 1.2479
1.8679 1.8679 6.4311
```

V in A^3/atom: 13.410
Final energy in eV/atom: -7.253
Size of the total moment in μB per formula unit: 0.0

---

No. 17
The following is a DFT calculation (PBE) of an optimized crystal structure of NaAcPd4.

Geometry as POSCAR:
```
NaAcPd4
1.0
5.3641 -1.1539 -0.6784
2.1742 -4.5126 2.3397
1.5303 -4.2806 -3.1463
Pd Ac Na
4 1 1
Cartesian
3.3976 -3.7268 -0.5563
4.1649 -5.8730 -2.1338
6.0870 -4.3053 -0.8964
4.4877 -5.9893 0.6168
6.8014 -7.4603 -1.1137
0.0000 0.0000 0.0000
```

V in A^3/atom: 19.914
Final energy in eV/atom: -4.958
Size of the total moment in μB per formula unit: 0.0

---

No. 18
The following is a DFT calculation (PBE) of an optimized crystal structure of AlPdAu2.

Geometry as POSCAR:
```
AlPdAu2
1.0
3.8352 -2.3440 -0.6101
2.9836 -0.3906 3.3942
0.5698 -3.9955 2.0703
Pd Au Al
1 2 1
Cartesian
1.8471 -1.6825 1.2136
5.5414 -5.0476 3.6407
0.0000 0.0000 0.0000
3.6943 -3.3651 2.4272
```

V in A^3/atom: 16.498
Final energy in eV/atom: -4.216

---

No. 19
The following is a DFT calculation (PBE) of an optimized crystal structure of ErZnTc.

Geometry as POSCAR:
```
ErZnTc
1.0
0.0000 3.1289 3.1289
3.1289 0.0000 3.1289
3.1289 3.1289 0.0000
Tc Zn Er
1 1 1
Cartesian
4.6934 4.6934 4.6934
0.0000 0.0000 0.0000
1.5645 1.5645 1.5645
```

V in A^3/atom: 20.422
Size of the total moment in μB per formula unit: 0.5
Calculated formation energy in meV/atom: 360

---

No. 20
The following is a DFT calculation (PBE) of an optimized crystal structure of GaTc2Ge2.

Geometry as POSCAR:
```
GaTc2Ge2
1.0
6.9360 0.0000 0.0000
0.0000 6.9360 0.0000
0.0000 0.0000 3.2274
Tc Ga Ge
4 2 4
Cartesian
5.8892 4.5148 0.0000
1.0468 2.4212 0.0000
4.5148 1.0468 0.0000
2.4212 5.8892 0.0000
3.4680 3.4680 0.0000
0.0000 0.0000 0.0000
1.0155 4.4835 1.6137
2.4525 1.0155 1.6137
5.9205 2.4525 1.6137
4.4835 5.9205 1.6137
```

V in A^3/atom: 15.526
Final energy in eV/atom: -6.690
Size of the total moment in μB per formula unit: 0.0

---

No. 21
The following is a DFT calculation (PBE) of an optimized crystal structure of DyBiOs.

Geometry as POSCAR:
```
DyBiOs
1.0
0.0000 3.4137 3.4137
3.4137 0.0000 3.4137
3.4137 3.4137 0.0000
Bi Dy Os
1 1 1
Cartesian
1.7068 1.7068 1.7068
0.0000 0.0000 0.0000
5.1205 5.1205 5.1205
```

V in A^3/atom: 26.520
Final energy in eV/atom: -5.894
Size of the total moment in μB per formula unit: 0.0